Zr2POs: optimized geometry, GGA-PBE.

```
8
Lattice="-4.484 1.207 -5.439 1.009 -6.690 -2.316 -4.011 -3.662 -2.208" Properties=species:S:1:pos:R:3 pbc="T T T"
Zr -0.966 -4.937 -2.720
Os 0.000 0.000 0.000
Os -5.116 -2.598 -5.762
Zr -4.304 -4.853 -4.581
P -1.737 -2.741 -3.878
P -2.370 -6.547 -4.201
Zr -6.056 -7.494 -8.424
Zr -3.645 -1.006 -4.200
```

## Properties
Formation enthalpy at 0 K   -0.6 eV/f.u.
VASP energy   -8.591 eV/atom



Zr2POs: optimized geometry, GGA-PBE.

```
4
Lattice="2.066 4.311 0.005 -2.066 4.311 0.005 0.000 2.196 3.956" Properties=species:S:1:pos:R:3 pbc="T T T"
Os 0.000 1.098 1.978
Zr 0.000 7.004 0.990
Zr 0.000 3.814 2.978
P 0.000 4.311 0.005
```

## Properties
Formation enthalpy at 0 K   -1.6 eV/f.u.
VASP energy   -8.846 eV/atom



ZrPOs: optimized geometry, GGA-PBE.

```
3
Lattice="0.138 1.220 2.760 -1.884 1.145 -2.065 -4.516 -3.909 1.952" Properties=species:S:1:pos:R:3 pbc="T T T"
Zr -3.498 -1.368 2.432
Os -0.204 -0.177 0.088
P -2.561 0.001 0.127
```

## Properties
Formation enthalpy at 0 K   -0.4 eV/f.u.
VASP energy   -8.533 eV/atom



Zr2POs: optimized geometry, GGA-PBE.

```
4
Lattice="-1.799 1.225 -2.476 -1.741 -2.798 -0.119 -4.223 2.445 4.278" Properties=species:S:1:pos:R:3 pbc="T T T"
P -3.882 0.436 0.841
Zr -1.079 0.625 1.093
Os -1.770 -0.786 -1.298
Zr -3.144 1.820 3.184
```

## Properties
Formation enthalpy at 0 K   -2.3 eV/f.u.
VASP energy   -9.021 eV/atom



ZrPOs2: optimized geometry, GGA-PBE.

```
4
Lattice="3.579 -2.561 2.509 4.176 0.313 2.850 -1.083 -0.340 4.759" Properties=species:S:1:pos:R:3 pbc="T T T"
Os 5.104 -1.979 7.739
Zr 1.511 -0.616 2.548
Os -0.810 -0.355 4.411
P 3.119 -1.270 5.238
```

## Properties
Formation enthalpy at 0 K   -0.8 eV/f.u.
VASP energy   -9.297 eV/atom



ZrPOs: optimized geometry, GGA-PBE.

```
3
Lattice="-1.489 1.489 5.349 1.489 -1.489 5.349 1.489 1.489 -5.349" Properties=species:S:1:pos:R:3 pbc="T T T"
Zr 0.000 0.000 7.199
Os 0.000 0.000 10.365
P 0.000 0.000 3.833
```

## Properties
Formation enthalpy at 0 K   -1.5 eV/f.u.
VASP energy   -8.905 eV/atom



Zr2POs: optimized geometry, GGA-PBE.

```
4
Lattice="-5.538 2.300 0.607 -5.147 -0.922 2.998 -3.557 2.613 4.104" Properties=species:S:1:pos:R:3 pbc="T T T"
Zr -0.398 0.112 0.215
Os -6.314 1.769 3.418
Zr -3.216 0.901 1.741
P -11.436 3.204 6.190
```

## Properties
Formation enthalpy at 0 K   -1.8 eV/f.u.
VASP energy   -8.884 eV/atom



Zr2POs: optimized geometry, GGA-PBE.

```
4
Lattice="-1.895 1.895 4.943 1.895 -1.895 4.943 1.895 1.895 -4.943" Properties=species:S:1:pos:R:3 pbc="T T T"
P 0.000 1.895 2.471
Zr 0.000 0.000 0.000
Zr 1.895 0.000 2.471
Os 0.000 0.000 4.943
```

## Properties
Formation enthalpy at 0 K   -2.0 eV/f.u.
VASP energy   -8.936 eV/atom



Zr2POs: optimized geometry, GGA-PBE.

```
4
Lattice="1.054 1.713 4.219 -1.896 -4.143 1.042 2.970 -1.403 -0.173" Properties=species:S:1:pos:R:3 pbc="T T T"
Zr -0.948 -2.072 0.521
Os 1.064 -1.917 2.545
Zr 0.527 0.856 2.110
P 1.485 -0.701 -0.086
```

## Properties
Formation enthalpy at 0 K   -2.2 eV/f.u.
VASP energy   -8.977 eV/atom



ZrPOs2: optimized geometry, GGA-PBE.

```
4
Lattice="-5.234 -1.511 1.460 4.897 -1.167 -2.542 1.377 -1.528 3.353" Properties=species:S:1:pos:R:3 pbc="T T T"
Zr -1.501 -2.172 1.934
Os 1.123 -2.083 0.897
Os 4.452 -1.183 -2.366
P 1.729 -1.275 -1.291
```

## Properties
Formation enthalpy at 0 K   -0.9 eV/f.u.
VASP energy   -9.334 eV/atom



Zr2POs: optimized geometry, GGA-PBE.

```
4
Lattice="7.352 -1.732 0.002 7.352 1.732 0.002 6.943 0.000 2.973" Properties=species:S:1:pos:R:3 pbc="T T T"
Zr 5.277 0.000 0.726
Zr 16.369 0.000 2.251
P 10.823 0.000 1.488
Os 0.000 0.000 0.000
```

## Properties
Formation enthalpy at 0 K   -2.1 eV/f.u.
VASP energy   -8.967 eV/atom



ZrPOs2: optimized geometry, GGA-PBE.

```
4
Lattice="4.126 -3.217 -0.883 -0.054 -4.852 2.145 -2.290 3.493 -3.271" Properties=species:S:1:pos:R:3 pbc="T T T"
Os 1.171 -2.321 0.363
Zr -1.172 -0.679 -0.563
P 0.918 0.138 -2.077
Os 2.900 -5.748 0.899
```

## Properties
Formation enthalpy at 0 K   -1.3 eV/f.u.
VASP energy   -9.419 eV/atom



Question: Look up the VASP energy of the eleventh one.
Answer: -8.967 eV/atom



Repeat the eighth record exactly.
Zr2POs: optimized geometry, GGA-PBE.

```
4
Lattice="-1.895 1.895 4.943 1.895 -1.895 4.943 1.895 1.895 -4.943" Properties=species:S:1:pos:R:3 pbc="T T T"
P 0.000 1.895 2.471
Zr 0.000 0.000 0.000
Zr 1.895 0.000 2.471
Os 0.000 0.000 4.943
```

## Properties
Formation enthalpy at 0 K   -2.0 eV/f.u.
VASP energy   -8.936 eV/atom